Record 1
Computed, not measured: an optimized crystal structure of InTcMo2 at the PBE level of DFT.

The structure in POSCAR format:
```
InTcMo2
1.0
-3.775 -0.185 -2.519
-3.289 -2.951 1.051
-3.938 1.498 1.697
In Mo Tc
1 2 1
direct
0.500 0.500 0.500
0.000 0.000 0.000
0.250 0.250 0.250
0.750 0.750 0.750
```

Total magnetization: 0.0 μB per cell
SG: F-43m
D(E_F): 3.6 states/eV per cell
E_form: 29 kJ per mole of atoms

=====

Record 2
Computed, not measured: an optimized crystal structure of InTcMo4 at the PBE level of DFT.

The structure in POSCAR format:
```
InTcMo4
1.0
2.812 3.071 3.176
-1.977 1.511 4.608
1.962 -1.937 4.453
In Tc Mo
1 1 4
direct
0.000 0.000 0.000
0.750 0.750 0.750
0.877 0.374 0.374
0.374 0.374 0.877
0.374 0.877 0.374
0.374 0.374 0.374
```

Total magnetization: 0.0 μB per cell
SG: F-43m
D(E_F): 6.4 states/eV per cell
E_form: 33 kJ per mole of atoms

=====

Record 3
Computed, not measured: an optimized crystal structure of InTcMo2 at the PBE level of DFT.

The structure in POSCAR format:
```
InTcMo2
1.0
4.345 0.000 0.000
0.000 2.826 0.011
0.000 1.424 5.443
In Mo Tc
1 2 1
direct
0.500 0.733 0.750
0.000 0.055 0.012
0.500 0.251 0.254
0.000 0.462 0.484
```

Total magnetization: 0.0 μB per cell
SG: Pm
D(E_F): 3.4 states/eV per cell
E_form: 28 kJ per mole of atoms

=====

Record 4
Computed, not measured: an optimized crystal structure of InTcMo2 at the PBE level of DFT.

The structure in POSCAR format:
```
InTcMo2
1.0
-0.109 -0.762 2.708
-2.059 -1.244 -1.461
5.493 -7.026 -1.757
In Mo Tc
1 2 1
direct
0.500 0.500 0.750
0.000 0.000 0.018
0.000 0.000 0.482
0.500 0.500 0.250
```

Total magnetization: 0.0 μB per cell
SG: Cmmm
D(E_F): 3.8 states/eV per cell
E_form: 31 kJ per mole of atoms